Entry 1:
# Zn2CrMo

Crystalline Zn2CrMo at its relaxed geometry (PBE, Alexandria).

Cell and atoms, written as POSCAR:
```
Zn2CrMo
1.0
-0.602 0.891 2.355
-2.358 -0.792 -0.717
1.557 -7.595 3.272
Cr Mo Zn
1 1 2
Cartesian
-1.091 -1.849 1.637 Cr
-0.312 -5.647 3.273 Mo
0.017 -0.083 0.036 Zn
0.762 -3.714 1.600 Zn
```

Results
Density in kg/m3: 8298
M_tot in μB per formula unit: 0.0
Energy of formation from the pure elements in meV per atom: 202
DOS(E_F) in states/eV/atom: 0.5809

=====

Entry 2:
# AsPSe2N

Crystalline AsPSe2N at its relaxed geometry (PBE, Alexandria).

Cell and atoms, written as POSCAR:
```
AsPSe2N
1.0
-4.768 0.225 -1.171
0.675 -3.470 -3.415
-0.950 -3.355 3.221
P As Se N
1 1 2 1
Cartesian
0.000 0.000 0.000 P
-0.475 -1.677 1.611 As
0.338 -1.735 -1.707 Se
-2.384 0.112 -0.586 Se
-2.521 -3.300 -0.682 N
```

Results
Density in kg/m3: 4024
M_tot in μB per formula unit: 2.3
Uncorrected formation energy in kJ/mol of formula units: 760
DOS(E_F) in states/eV/atom: 0.8793

=====

Entry 3:
# SrTcO2F

Crystalline SrTcO2F at its relaxed geometry (PBE, Alexandria).

Cell and atoms, written as POSCAR:
```
SrTcO2F
1.0
-3.263 3.179 0.455
-2.356 -1.929 -3.419
-2.136 -2.614 2.946
Sr Tc O F
1 1 2 1
Cartesian
0.000 0.000 0.000 Sr
-3.877 -0.682 -0.009 Tc
-1.178 -0.964 -1.709 O
-1.632 1.589 0.228 O
-1.068 -1.307 1.473 F
```

Results
Density in kg/m3: 4184
M_tot in μB per formula unit: 4.6
Uncorrected formation energy in kJ/mol of formula units: -219
DOS(E_F) in states/eV/atom: 0.8413

=====

Entry 4:
# In2PtRh

Crystalline In2PtRh at its relaxed geometry (PBE, Alexandria).

Cell and atoms, written as POSCAR:
```
In2PtRh
1.0
-1.195 -4.405 -0.934
-4.396 -1.406 0.636
-2.697 -0.953 -3.678
In Pt Rh
2 1 1
Cartesian
0.000 0.000 0.000 In
-6.216 -5.073 -2.982 In
-4.144 -3.382 -1.988 Pt
-2.072 -1.691 -0.994 Rh
```

Results
Density in kg/m3: 12250
M_tot in μB per formula unit: 0.0
Energy of formation from the pure elements in meV per atom: -94
DOS(E_F) in states/eV/atom: 0.3994

=====

Entry 5:
# LaAlP2

Crystalline LaAlP2 at its relaxed geometry (PBE, Alexandria).

Cell and atoms, written as POSCAR:
```
LaAlP2
1.0
-0.773 3.466 -0.861
-3.514 -0.582 0.818
1.031 1.616 5.581
P Al La
2 1 1
Cartesian
0.056 0.087 0.301 P
0.460 0.721 2.490 P
-1.885 1.846 1.374 Al
-1.370 2.654 4.164 La
```

Results
Density in kg/m3: 4801
M_tot in μB per formula unit: 0.0
Energy of formation from the pure elements in meV per atom: -526
DOS(E_F) in states/eV/atom: 0.4692

=====

Entry 6:
# CsK2HgBr5

Crystalline CsK2HgBr5 at its relaxed geometry (PBE, Alexandria).

Cell and atoms, written as POSCAR:
```
CsK2HgBr5
1.0
5.514 0.000 0.000
0.000 8.037 0.000
-2.757 -4.018 7.942
Cs K Hg Br
1 2 1 5
Cartesian
0.000 4.018 0.000 Cs
0.000 0.000 3.248 K
2.757 4.018 4.693 K
2.757 0.000 0.000 Hg
2.757 6.066 2.094 Br
0.000 -2.048 5.848 Br
0.000 2.048 5.848 Br
2.757 1.971 2.094 Br
0.000 0.000 0.000 Br
```

Results
Density in kg/m3: 3828
M_tot in μB per formula unit: 0.0
Uncorrected formation energy in kJ/mol of formula units: -1133
DOS(E_F) in states/eV/atom: 0.0000

=====

Entry 7:
# Nd3Hg2Au6

Crystalline Nd3Hg2Au6 at its relaxed geometry (PBE, Alexandria).

Cell and atoms, written as POSCAR:
```
Nd3Hg2Au6
1.0
-1.202 1.692 -3.753
1.775 -3.314 -2.063
-12.714 -6.320 3.672
Nd Hg Au
3 2 6
Cartesian
0.000 0.000 0.000 Nd
-7.129 -5.066 -2.452 Nd
-5.013 -2.876 0.308 Nd
-11.169 -6.408 0.687 Hg
-0.972 -1.533 -2.830 Hg
-2.034 -3.333 -0.852 Au
-3.522 -0.830 -1.697 Au
-10.107 -4.609 -1.292 Au
-8.619 -7.112 -0.447 Au
-4.413 -3.507 -2.619 Au
-7.728 -4.434 0.475 Au
```

Results
Density in kg/m3: 12684
M_tot in μB per formula unit: 0.0
Energy of formation from the pure elements in meV per atom: -483
DOS(E_F) in states/eV/atom: 0.5159

=====

Entry 8:
# Ca2TcWN5

Crystalline Ca2TcWN5 at its relaxed geometry (PBE, Alexandria).

Cell and atoms, written as POSCAR:
```
Ca2TcWN5
1.0
3.336 0.000 0.000
-1.668 6.702 0.000
0.000 0.000 10.629
Ca Tc W N
4 2 2 10
Cartesian
1.668 4.744 8.328 Ca
0.000 1.416 7.259 Ca
0.000 1.958 3.014 Ca
1.668 5.286 1.945 Ca
1.668 3.534 5.573 Tc
0.000 3.168 0.258 Tc
1.668 0.713 10.094 W
0.000 5.989 4.780 W
0.000 4.918 0.133 N
1.668 2.532 9.506 N
0.000 6.617 8.458 N
0.000 3.770 6.796 N
1.668 6.072 5.752 N
1.668 1.785 5.447 N
0.000 4.170 4.192 N
1.668 0.085 3.144 N
1.668 2.932 1.482 N
0.000 0.630 0.438 N
```

Results
Density in kg/m3: 6037
M_tot in μB per formula unit: 0.0
Uncorrected formation energy in kJ/mol of formula units: -501
DOS(E_F) in states/eV/atom: 0.0091